Entry 1:
Material: Li6AcPd2
Method: DFT, PBE
State: relaxed

Unit cell a=11.0283 b=8.5080 c=4.5538 alpha=90.00 beta=114.18 gamma=90.00
Closest atoms and distances in Å follow each position.
Space group C2/m (No. 12)
One atom of each set of equivalent atoms:
1 Li 0.0000 0.1588 0.0000 [4 per cell]  2 Pd 2.62, 1 Li 2.70
2 Li 0.2224 0.1648 0.7231 [8 per cell]  3 Pd 2.67-2.91, 3 Li 2.75-2.80
3 Ac 0.0000 0.5000 0.5000 [2 per cell]  2 Pd 2.79
4 Pd 0.2225 0.0000 0.2227 [4 per cell]  8 Li 2.62-2.91, 1 Ac 2.79

Final energy (eV/atom): -3.1058
Formation energy (eV/f.u.): -1.98
D(E_F) (states/eV/f.u.): 4.242
Theoretical density (g/cm³): 4.10

Entry 2:
Material: SbPtW2
Method: DFT, PBE
State: relaxed

Unit cell a=6.5343 b=6.5343 c=6.5343 alpha=90.00 beta=90.00 gamma=90.00
Closest atoms and distances in Å follow each position.
Space group F-43m (No. 216)
One atom of each set of equivalent atoms:
1 Sb 0.0000 0.0000 0.0000 [4 per cell]  4 Pt 2.83, 4 W 2.83
2 Pt 0.2500 0.2500 0.2500 [4 per cell]  4 W 2.83, 4 Sb 2.83
3 W 0.0000 0.0000 0.5000 [4 per cell]  4 W 2.83, 4 Pt 2.83
4 W 0.2500 0.2500 0.7500 [4 per cell]  4 W 2.83, 4 Sb 2.83

Final energy (eV/atom): -8.4430
D(E_F) (states/eV/f.u.): 4.401
E_form (uncorrected) (eV per formula unit): 2.30
Theoretical density (g/cm³): 16.30

Entry 3:
Material: PrNdS2O
Method: DFT, PBE
State: relaxed

Unit cell a=4.0338 b=4.0338 c=14.3726 alpha=90.00 beta=90.00 gamma=90.00
Closest atoms and distances in Å follow each position.
Space group P4/nmm (No. 129, origin choice 2)
One atom of each set of equivalent atoms:
1 Pr 0.2500 0.2500 0.0854 [2 per cell]  4 O 2.36
2 Nd 0.2500 0.2500 0.6261 [2 per cell]  5 S 2.59-2.89
3 S 0.2500 0.2500 0.4084 [2 per cell]  5 Nd 2.89-3.13
4 S 0.2500 0.2500 0.8063 [2 per cell]  1 Nd 2.59
5 O 0.2500 0.7500 0.0000 [2 per cell]  4 Pr 2.36

Final energy (eV/atom): -7.0057
D(E_F) (states/eV/f.u.): 0.711
E_form (uncorrected) (eV per formula unit): -12.27
Theoretical density (g/cm³): 5.19

Entry 4:
Material: TlInBr2
Method: DFT, PBE
State: relaxed

Unit cell a=4.5751 b=4.5751 c=26.2675 alpha=90.00 beta=90.00 gamma=120.00
Closest atoms and distances in Å follow each position.
Space group R3m (No. 160, hexagonal axes)
One atom of each set of equivalent atoms:
1 Tl 0.0000 0.0000 0.0000 [3 per cell]  3 Br 3.05
2 In 0.0000 0.0000 0.7583 [3 per cell]  3 Br 3.00
3 Br 0.0000 0.0000 0.2755 [3 per cell]  3 Tl 3.05
4 Br 0.0000 0.0000 0.4794 [3 per cell]  3 In 3.00

Final energy (eV/atom): -2.7541
Relative energy among the computed polymorphs (eV per formula unit): 0.45
D(E_F) (states/eV/f.u.): 0.000
E_form (uncorrected) (eV per formula unit): -2.57
Theoretical density (g/cm³): 5.01

Entry 5:
Material: Ce2PrGe
Method: DFT, PBE
State: relaxed

Unit cell a=4.5965 b=4.5965 c=4.9028 alpha=90.00 beta=90.00 gamma=90.00
Closest atoms and distances in Å follow each position.
Space group P4/mmm (No. 123)
One atom of each set of equivalent atoms:
1 Ce 0.0000 0.5000 0.0000 [2 per cell]  4 Ce 3.25, 4 Ge 3.36, 4 Pr 3.36
2 Pr 0.0000 0.0000 0.5000 [1 per cell]  4 Ge 3.25, 8 Ce 3.36
3 Ge 0.5000 0.5000 0.5000 [1 per cell]  4 Pr 3.25, 8 Ce 3.36

Final energy (eV/atom): -5.6600
Formation energy (eV/f.u.): -1.38
Relative energy among the computed polymorphs (eV per formula unit): 0.45
D(E_F) (states/eV/f.u.): 9.298
Theoretical density (g/cm³): 7.92

Entry 6:
Material: GeOsN2
Method: DFT, PBE
State: relaxed

Unit cell a=2.8773 b=2.8773 c=18.4216 alpha=90.00 beta=90.00 gamma=120.00
Closest atoms and distances in Å follow each position.
Space group R-3m (No. 166, hexagonal axes)
One atom of each set of equivalent atoms:
1 Ge 0.0000 0.0000 0.0000 [3 per cell]  6 N 2.00
2 Os 0.0000 0.0000 0.5000 [3 per cell]  2 N 1.95
3 N 0.0000 0.0000 0.3941 [6 per cell]  1 Os 1.95, 3 Ge 2.00

Final energy (eV/atom): -7.6637
D(E_F) (states/eV/f.u.): 1.364
E_form (uncorrected) (eV per formula unit): 1.84
Theoretical density (g/cm³): 10.97

Question: What is the theoretical density in the fourth record?
Answer: 5.01 g/cm³

Question: Which of these has the lowest theoretical density?
Answer: Li6AcPd2

Please write out number 4 again, unchanged.
Material: TlInBr2
Method: DFT, PBE
State: relaxed

Unit cell a=4.5751 b=4.5751 c=26.2675 alpha=90.00 beta=90.00 gamma=120.00
Closest atoms and distances in Å follow each position.
Space group R3m (No. 160, hexagonal axes)
One atom of each set of equivalent atoms:
1 Tl 0.0000 0.0000 0.0000 [3 per cell]  3 Br 3.05
2 In 0.0000 0.0000 0.7583 [3 per cell]  3 Br 3.00
3 Br 0.0000 0.0000 0.2755 [3 per cell]  3 Tl 3.05
4 Br 0.0000 0.0000 0.4794 [3 per cell]  3 In 3.00

Final energy (eV/atom): -2.7541
Relative energy among the computed polymorphs (eV per formula unit): 0.45
D(E_F) (states/eV/f.u.): 0.000
E_form (uncorrected) (eV per formula unit): -2.57
Theoretical density (g/cm³): 5.01

Question: theoretical density of number 5 (Ce2PrGe)?
Answer: 7.92 g/cm³